Here is a relaxed structure of B3SbAu from the Alexandria database. Energies are from PBE.

Computed properties:
Relative energy among the computed polymorphs in meV/atom: 476
Formation energy (no corrections) in eV/atom: 2.184
Space group: Pm-3m
Total magnetic moment in μB per formula unit: 0.00
Final energy in eV per atom: -3.3025

abc: 4.483 4.483 4.483
angles: 90.00 90.00 90.00
Element x y z (fractional)
Sb1 0.000 0.000 0.000
B1 0.000 0.500 0.000
B2 0.000 0.000 0.500
B3 0.500 0.000 0.000
Au1 0.500 0.500 0.500

Here is a relaxed structure of BSb2Au2 from the Alexandria database. Energies are from PBE.

Computed properties:
Relative energy among the computed polymorphs in meV/atom: 219
Formation energy (no corrections) in eV/atom: 0.524
Space group: I4/mmm
Total magnetic moment in μB per formula unit: 0.00
Final energy in eV per atom: -3.7713

abc: 5.794 5.794 5.297
angles: 56.84 56.84 90.00
Element x y z (fractional)
Sb1 0.750 0.250 0.500
Sb2 0.250 0.750 0.500
B1 0.000 0.000 0.000
Au1 0.298 0.298 0.404
Au2 0.702 0.702 0.596